# La2MgSn3 GGA-PBE relaxed
data_La2MgSn3
_chemical_formula_sum 'La8 Mg4 Sn12'
_cell_length_a 11.345
_cell_length_b 6.548
_cell_length_c 10.284
_cell_angle_alpha 90.00
_cell_angle_beta 113.50
_cell_angle_gamma 90.00
_symmetry_space_group_name_H-M 'C 1 2/c 1'
_symmetry_Int_Tables_number 15
_symmetry_space_group_name_Hall '-C 2yc'
loop_
_atom_site_label
_atom_site_fract_x
_atom_site_fract_y
_atom_site_fract_z
La1 0.180 0.084 0.093
Mg1 0.000 0.337 0.250
Sn1 0.000 0.172 0.750
Sn2 0.131 0.410 0.571
# V (Å³/f.u.): 175.14
# Magnetization (Bohr magnetons per cell): 0.000
# Energy (eV/atom): -4.428
# Calculated density (g cm⁻³): 6.2
# ΔE_f (kJ/mol of formula units): -300
# Crystal system: monoclinic